Record 1
# LiAu2Cl

A crystal of LiAu2Cl relaxed with PBEsol (meta-GGA SCAN, the Alexandria database).

The structure in extended XYZ format:
```
8
Lattice="-1.8379 1.8379 12.0841 1.8379 -1.8379 12.0841 1.8379 1.8379 -12.0841" Properties=species:S:1:pos:R:3 pbc="T T T"
Li 0.0000 0.0000 0.0000
Li 0.0000 1.8379 6.0420
Au 2.7569 0.9162 -3.0210
Au 0.9162 0.9190 3.0210
Au -0.9190 0.9217 9.0631
Au 0.9217 0.9190 15.1051
Cl 1.8379 0.0000 6.0420
Cl 0.0000 0.0000 12.0841
```

Calculated values
Formation energy without anion corrections in meV/atom: -627
Total moment in Bohr magnetons per cell: 0.0



Record 2
# MgBe2Al

A crystal of MgBe2Al relaxed with PBEsol (meta-GGA SCAN, the Alexandria database).

The structure in extended XYZ format:
```
4
Lattice="2.8754 -2.9517 0.0000 2.8754 2.9517 0.0000 0.0000 0.0000 3.1047" Properties=species:S:1:pos:R:3 pbc="T T T"
Mg 0.0000 0.0000 0.0000
Be 1.4377 1.4758 1.5523
Be 1.4377 -1.4758 1.5523
Al 2.8754 0.0000 0.0000
```

Calculated values
DFT formation energy in eV per formula unit: 1.4
Total moment in Bohr magnetons per cell: 0.1



Record 3
# InAs2P

A crystal of InAs2P relaxed with PBEsol (meta-GGA SCAN, the Alexandria database).

The structure in extended XYZ format:
```
4
Lattice="0.0000 3.3456 3.3456 3.3456 0.0000 3.3456 3.3456 3.3456 0.0000" Properties=species:S:1:pos:R:3 pbc="T T T"
In 0.0000 0.0000 0.0000
As 1.6728 1.6728 1.6728
As 5.0183 5.0183 5.0183
P 3.3456 3.3456 3.3456
```

Calculated values
DFT formation energy in eV per formula unit: 2.2
Total moment in Bohr magnetons per cell: 0.0



Record 4
# Tl2InFe

A crystal of Tl2InFe relaxed with PBEsol (meta-GGA SCAN, the Alexandria database).

The structure in extended XYZ format:
```
4
Lattice="3.1091 0.0000 0.0000 0.0000 3.1091 0.0000 0.0000 0.0000 9.0815" Properties=species:S:1:pos:R:3 pbc="T T T"
Tl 0.0000 0.0000 0.0000
Tl 1.5546 1.5546 2.8548
In 1.5546 1.5546 6.3756
Fe 0.0000 0.0000 4.7247
```

Calculated values
DFT formation energy in eV per formula unit: 1.3
Total moment in Bohr magnetons per cell: 2.8



Record 5
# LiMnSe2

A crystal of LiMnSe2 relaxed with PBEsol (meta-GGA SCAN, the Alexandria database).

The structure in extended XYZ format:
```
4
Lattice="4.5893 0.0000 0.0000 0.0000 4.5893 0.0000 0.0000 0.0000 3.1577" Properties=species:S:1:pos:R:3 pbc="T T T"
Li 0.0000 0.0000 0.0000
Mn 2.2947 2.2947 0.0000
Se 0.0000 2.2947 1.5789
Se 2.2947 0.0000 1.5789
```

Calculated values
Formation energy without anion corrections in meV/atom: -575
Total moment in Bohr magnetons per cell: 4.2